Record 1
# Ac2InHg5

A relaxed structure of Ac2InHg5 (PBE-GGA, the Alexandria database).

For the formation energy from the elements, the calculation gives -0.359 eV per atom.

It has space group Cmcm (No. 63), with a = 5.009 Å, b = 18.302 Å, c = 10.082 Å, α = 90.00°, β = 90.00° and γ = 90.00°. The inequivalent atoms are Ac at (0.000, 0.000, 0.000), Ac at (0.000, 0.208, 0.250), In at (0.000, 0.447, 0.750), Hg at (0.000, 0.188, 0.603), Hg at (0.000, 0.354, 0.529) and Hg at (0.000, 0.402, 0.250).

Record 2
# Th3TcGe2

A relaxed structure of Th3TcGe2 (PBE-GGA, the Alexandria database).

For the formation energy from the elements, the calculation gives -0.366 eV per atom. The value obtained for the excess energy over the best structure of this formula in the dataset is 20.7 kJ/mol of atoms.

It has space group C2/c (No. 15), with a = 13.545 Å, b = 5.971 Å, c = 8.411 Å, α = 90.00°, β = 108.05° and γ = 90.00°. The inequivalent atoms are Th at (0.000, 0.026, 0.250), Th at (0.150, 0.500, 0.075), Tc at (0.000, 0.479, 0.250) and Ge at (0.176, 0.000, 0.088).

Record 3
# KSrMg2

A relaxed structure of KSrMg2 (PBE-GGA, the Alexandria database).

For the formation energy from the elements, the calculation gives 0.328 eV per atom. The value obtained for the excess energy over the best structure of this formula in the dataset is 22.0 kJ/mol of atoms.

It has space group I-42d (No. 122), with a = 9.584 Å, b = 9.584 Å, c = 7.280 Å, α = 90.00°, β = 90.00° and γ = 90.00°. The inequivalent atoms are K at (0.000, 0.000, 0.000), Sr at (0.000, 0.000, 0.500) and Mg at (0.250, 0.250, 0.125).

Record 4
# RbBi2RuO8

A relaxed structure of RbBi2RuO8 (PBE-GGA, the Alexandria database).

As for the energy relative to the elements, uncorrected: -10.7 eV/f.u.

It has space group P-1 (No. 2), with a = 4.216 Å, b = 5.635 Å, c = 7.607 Å, α = 91.43°, β = 105.89° and γ = 94.91°. The inequivalent atoms are Rb at (0.000, 0.000, 0.000), Bi at (0.332, 0.461, 0.709), Ru at (0.500, 0.000, 0.500), O at (0.169, 0.506, 0.996), O at (0.198, 0.175, 0.361), O at (0.225, 0.668, 0.428) and O at (0.359, 0.077, 0.719).